(1)
Li3HoMg6: optimized geometry, PBE.

Lattice parameters (Å, degrees): 9.1021 4.8418 10.2300 90.00 98.13 90.00
With the nearest neighbours (Å) after each atom.
Space group P2_1/m (No. 11)
Asymmetric unit:
Li (0.0518, 0.2500, 0.3964) (multiplicity 2)  8 Mg 2.92-3.01
Li (0.1566, 0.7500, 0.1828) (multiplicity 2)  8 Mg 2.90-3.01
Li (0.2465, 0.2500, 0.9700) (multiplicity 2)  10 Mg 2.91-3.24
Ho (0.4430, 0.2500, 0.5975) (multiplicity 2)  10 Mg 3.25-3.34, 2 Ho 3.39
Mg (0.0299, 0.7500, 0.8988) (multiplicity 2)  7 Li 2.97-3.14, 3 Mg 3.15-3.28
Mg (0.1152, 0.2500, 0.6935) (multiplicity 2)  5 Li 2.91-3.01, 2 Mg 3.19
Mg (0.2209, 0.7500, 0.4753) (multiplicity 2)  4 Li 2.92-2.97, 1 Mg 3.19, 1 Ho 3.25
Mg (0.3285, 0.2500, 0.2747) (multiplicity 2)  4 Li 2.96-3.10, 1 Mg 3.21
Mg (0.3345, 0.7500, 0.7853) (multiplicity 2)  8 Mg 3.10-3.31, 2 Li 3.24, 2 Ho 3.33
Mg (0.4416, 0.7500, 0.0869) (multiplicity 2)  4 Li 2.90-3.14, 1 Mg 3.10

Calculated values
E_form = -4.1 kJ/mol of atoms
DOS at the Fermi energy = 0.4836 states/eV/atom
M_tot = 0.0 Bohr magnetons per cell

(2)
Ti2V2H: optimized geometry, PBE.

Lattice parameters (Å, degrees): 3.3550 3.3550 13.2968 90.00 90.00 90.00
With the nearest neighbours (Å) after each atom.
Space group I4/mmm (No. 139)
Asymmetric unit:
Ti (0.0000, 0.5000, 0.2500) (multiplicity 4)  4 Ti 2.37
V (0.0000, 0.0000, 0.0720) (multiplicity 4)  1 V 1.92
H (0.0000, 0.0000, 0.5000) (multiplicity 2)  8 V 2.56

Calculated values
DOS at the Fermi energy = 1.3987 states/eV/atom
ΔE to the lowest computed polymorph = 76.5 kJ/mol of atoms
M_tot = 1.6 Bohr magnetons per cell

(3)
Mg2ZnRh: optimized geometry, PBE.

Lattice parameters (Å, degrees): 5.3109 4.4750 5.5137 90.00 97.17 90.00
With the nearest neighbours (Å) after each atom.
Space group Pm (No. 6)
Asymmetric unit:
Mg (0.0000, 0.0000, 0.0000) (multiplicity 1)  4 Rh 2.74-2.79, 4 Mg 2.78-3.06, 3 Zn 2.86-2.95
Mg (0.2256, 0.5000, 0.4165) (multiplicity 1)  3 Zn 2.63-2.92, 4 Rh 2.71-2.81, 2 Mg 2.94
Mg (0.5000, 0.0000, 0.2238) (multiplicity 1)  4 Zn 2.64-2.78, 3 Rh 2.72-2.92, 3 Mg 2.78-2.94
Mg (0.7662, 0.5000, 0.6980) (multiplicity 1)  4 Rh 2.75-2.93, 4 Zn 2.76-2.85, 3 Mg 2.97-3.05
Zn (0.4352, 0.0000, 0.7153) (multiplicity 1)  3 Rh 2.65-2.66, 7 Mg 2.77-2.95
Zn (0.7572, 0.5000, 0.1973) (multiplicity 1)  7 Mg 2.63-2.86, 3 Rh 2.73-2.92
Rh (0.2936, 0.5000, 0.9200) (multiplicity 1)  3 Zn 2.66-2.73, 8 Mg 2.75-2.93
Rh (0.9608, 0.0000, 0.4994) (multiplicity 1)  3 Zn 2.65-2.92, 7 Mg 2.71-2.79

Calculated values
E_form = -35.9 kJ/mol of atoms
DOS at the Fermi energy = 0.3772 states/eV/atom
M_tot = 0.0 Bohr magnetons per cell

(4)
PmDyF4: optimized geometry, PBE.

Lattice parameters (Å, degrees): 7.5794 7.5794 7.6091 90.00 90.00 90.00
With the nearest neighbours (Å) after each atom.
Space group I4_1md (No. 109)
Asymmetric unit:
Pm (0.0000, 0.0000, 0.0000) (multiplicity 4)  4 F 2.38-2.65
Dy (0.0000, 0.0000, 0.4741) (multiplicity 4)  6 F 2.18-2.28
F (0.0000, 0.2816, 0.5375) (multiplicity 8)  2 Dy 2.18-2.19
F (0.0000, 0.3117, 0.9572) (multiplicity 8)  1 Dy 2.28, 1 Pm 2.38

Calculated values
Formation energy (no corrections) = -3.3505 eV per atom
DOS at the Fermi energy = 0.0062 states/eV/atom
M_tot = 0.0 Bohr magnetons per cell

(5)
ReSi: optimized geometry, PBE.

Lattice parameters (Å, degrees): 7.5521 7.5521 7.5521 90.00 90.00 90.00
With the nearest neighbours (Å) after each atom.
Space group I-43m (No. 217)
Asymmetric unit:
Re (0.1216, 0.1216, 0.8784) (multiplicity 8)  4 Si 2.43-2.49, 3 Re 2.60
Si (0.1925, 0.1925, 0.1925) (multiplicity 8)  4 Re 2.43-2.49

Calculated values
Formation energy (no corrections) = 0.9975 eV per atom
DOS at the Fermi energy = 1.0682 states/eV/atom
M_tot = 0.2 Bohr magnetons per cell

(6)
Hf2NpP4: optimized geometry, PBE.

Lattice parameters (Å, degrees): 3.7372 12.1346 12.2202 90.00 90.00 90.00
With the nearest neighbours (Å) after each atom.
Space group Cmcm (No. 63)
Asymmetric unit:
Hf (0.0000, 0.1353, 0.0577) (multiplicity 8)  6 P 2.55-2.62
Np (0.0000, 0.3909, 0.2500) (multiplicity 4)  6 P 2.71-2.80
P (0.0000, 0.0531, 0.2500) (multiplicity 4)  2 Hf 2.55, 2 Np 2.71
P (0.0000, 0.2332, 0.6325) (multiplicity 8)  3 Hf 2.61-2.62, 2 Np 2.80, 1 P 2.87
P (0.0000, 0.5000, 0.0000) (multiplicity 4)  4 Hf 2.59

Calculated values
E_form = -87.1 kJ/mol of atoms
DOS at the Fermi energy = 1.3029 states/eV/atom
M_tot = 11.6 Bohr magnetons per cell

(7)
Cu2ReNi2: optimized geometry, PBE.

Lattice parameters (Å, degrees): 6.7919 6.7919 2.6164 90.00 90.00 90.00
With the nearest neighbours (Å) after each atom.
Space group P4/mbm (No. 127)
Asymmetric unit:
Cu (0.1227, 0.3773, 0.0000) (multiplicity 4)  6 Ni 2.32-2.45, 1 Cu 2.36
Re (0.0000, 0.0000, 0.0000) (multiplicity 2)  2 Re 2.62, 4 Cu 2.69, 8 Ni 2.82
Ni (0.1773, 0.6773, 0.5000) (multiplicity 4)  6 Cu 2.32-2.45

Calculated values
E_form = 26.5 kJ/mol of atoms
DOS at the Fermi energy = 0.7137 states/eV/atom
ΔE to the lowest computed polymorph = 0.0 kJ/mol of atoms
M_tot = 0.0 Bohr magnetons per cell

(8)
Pm2Ho2Se2S3: optimized geometry, PBE.

Lattice parameters (Å, degrees): 5.3654 5.3654 14.9953 90.00 90.00 90.00
With the nearest neighbours (Å) after each atom.
Space group I4/mmm (No. 139)
Asymmetric unit:
Pm (0.0000, 0.0000, 0.2003) (multiplicity 4)  5 S 2.78-3.00, 1 Se 2.97
Ho (0.0000, 0.5000, 0.0000) (multiplicity 4)  2 S 2.68
Se (0.0000, 0.0000, 0.3981) (multiplicity 4)  1 Pm 2.97, 1 Se 3.06, 4 Ho 3.09
S (0.0000, 0.0000, 0.0000) (multiplicity 2)  4 Ho 2.68, 2 Pm 3.00
S (0.0000, 0.5000, 0.2500) (multiplicity 4)  4 Pm 2.78

Calculated values
Formation energy (no corrections) = -1.6752 eV per atom
DOS at the Fermi energy = 0.5494 states/eV/atom
M_tot = 0.0 Bohr magnetons per cell

(9)
As3C5: optimized geometry, PBE.

Lattice parameters (Å, degrees): 5.8144 10.9873 7.9742 90.00 90.47 90.00
With the nearest neighbours (Å) after each atom.
Space group Cm (No. 8)
Asymmetric unit:
As (0.0000, 0.0000, 0.0000) (multiplicity 2)  4 C 2.06-2.18
As (0.0030, 0.3810, 0.2529) (multiplicity 4)  4 C 1.90-2.04
As (0.0042, 0.0000, 0.3625) (multiplicity 2)  2 C 2.00
As (0.4981, 0.2250, 0.7950) (multiplicity 4)  2 C 1.91-2.00
C (0.0004, 0.1976, 0.0226) (multiplicity 4)  1 C 1.31
C (0.0022, 0.2148, 0.1850) (multiplicity 4)  1 C 1.31
C (0.0050, 0.4403, 0.4872) (multiplicity 4)  1 C 1.31
C (0.2482, 0.0000, 0.1866) (multiplicity 2)  4 As 2.00-2.06
C (0.2561, 0.5000, 0.1866) (multiplicity 2)  4 As 2.00-2.06
C (0.4982, 0.0568, 0.8553) (multiplicity 4)  1 C 1.25

Calculated values
E_form = 134.0 kJ/mol of atoms
DOS at the Fermi energy = 0.2392 states/eV/atom
ΔE to the lowest computed polymorph = 9.9 kJ/mol of atoms
M_tot = 0.0 Bohr magnetons per cell

(10)
TaMoAu2: optimized geometry, PBE.

Lattice parameters (Å, degrees): 4.1022 4.1022 8.1926 90.00 90.00 90.00
With the nearest neighbours (Å) after each atom.
Space group I-4m2 (No. 119)
Asymmetric unit:
Ta (0.0000, 0.0000, 0.0000) (multiplicity 2)  4 Mo 2.90, 8 Au 2.90
Mo (0.0000, 0.5000, 0.2500) (multiplicity 2)  4 Ta 2.90, 8 Au 2.90
Au (0.0000, 0.0000, 0.5000) (multiplicity 2)  4 Mo 2.90, 4 Au 2.90, 4 Ta 2.90
Au (0.0000, 0.5000, 0.7500) (multiplicity 2)  4 Au 2.90, 4 Ta 2.90, 4 Mo 2.90

Calculated values
E_form = 16.8 kJ/mol of atoms
DOS at the Fermi energy = 1.5062 states/eV/atom
ΔE to the lowest computed polymorph = 14.1 kJ/mol of atoms
M_tot = 1.1 Bohr magnetons per cell

(11)
Ac12OsPt5: optimized geometry, PBE.

Lattice parameters (Å, degrees): 7.6893 13.3111 14.1340 90.00 100.36 90.00
With the nearest neighbours (Å) after each atom.
Space group C2/m (No. 12)
Asymmetric unit:
Ac (0.1284, 0.0000, 0.3823) (multiplicity 4)  3 Pt 3.04
Ac (0.1279, 0.3332, 0.3817) (multiplicity 8)  3 Pt 3.04-3.05
Ac (0.1997, 0.1618, 0.1140) (multiplicity 8)  1 Os 2.95, 2 Pt 3.05
Ac (0.2143, 0.5000, 0.1141) (multiplicity 4)  1 Os 2.95, 2 Pt 3.05
Os (0.0000, 0.0000, 0.0000) (multiplicity 2)  6 Ac 2.95
Pt (0.0000, 0.1670, 0.5000) (multiplicity 4)  6 Ac 3.04
Pt (0.0000, 0.3334, 0.0000) (multiplicity 4)  6 Ac 3.05
Pt (0.0000, 0.5000, 0.5000) (multiplicity 2)  6 Ac 3.04-3.05

Calculated values
E_form = -66.6 kJ/mol of atoms
DOS at the Fermi energy = 0.8996 states/eV/atom
M_tot = 0.0 Bohr magnetons per cell

The highest DOS at the Fermi energy belongs to which entry? TaMoAu2

Please write out number 4 again, unchanged.
PmDyF4: optimized geometry, PBE.

Lattice parameters (Å, degrees): 7.5794 7.5794 7.6091 90.00 90.00 90.00
With the nearest neighbours (Å) after each atom.
Space group I4_1md (No. 109)
Asymmetric unit:
Pm (0.0000, 0.0000, 0.0000) (multiplicity 4)  4 F 2.38-2.65
Dy (0.0000, 0.0000, 0.4741) (multiplicity 4)  6 F 2.18-2.28
F (0.0000, 0.2816, 0.5375) (multiplicity 8)  2 Dy 2.18-2.19
F (0.0000, 0.3117, 0.9572) (multiplicity 8)  1 Dy 2.28, 1 Pm 2.38

Calculated values
Formation energy (no corrections) = -3.3505 eV per atom
DOS at the Fermi energy = 0.0062 states/eV/atom
M_tot = 0.0 Bohr magnetons per cell